Entry 1:
Material: PrNd5Zn3
Method: DFT, PBE
State: relaxed

Results
The formation energy is -0.13 eV per atom. Its magnetic moment is 0.000 μB/atom.

Lattice parameters (Å, degrees): 9.1300 9.1300 7.0422 90.00 90.00 120.00
Fractional positions:
Pr: 0.0000 0.0000 0.0000
Pr: 0.0000 0.0000 0.5000
Nd: 0.0000 0.3332 0.2500
Nd: 0.0000 0.6668 0.7500
Nd: 0.3332 0.0000 0.2500
Nd: 0.3332 0.3332 0.7500
Nd: 0.3333 0.6667 0.0000
Nd: 0.3333 0.6667 0.5000
Nd: 0.6668 0.0000 0.7500
Nd: 0.6667 0.3333 0.0000
Nd: 0.6667 0.3333 0.5000
Nd: 0.6668 0.6668 0.2500
Zn: 0.0000 0.3346 0.7500
Zn: 0.0000 0.6654 0.2500
Zn: 0.3346 0.0000 0.7500
Zn: 0.3346 0.3346 0.2500
Zn: 0.6654 0.0000 0.2500
Zn: 0.6654 0.6654 0.7500

Entry 2:
Material: PrNd7Zn4
Method: DFT, PBE
State: relaxed

Results
The formation energy is -0.02 eV per atom. Its magnetic moment is 0.029 μB/atom.

Lattice parameters (Å, degrees): 7.6904 7.6904 10.0440 120.36 120.36 43.91
Fractional positions:
Pr: 0.0000 0.0000 0.0000
Nd: 0.0688 0.0688 0.4018
Nd: 0.2049 0.2049 0.8784
Nd: 0.2801 0.2801 0.3324
Nd: 0.5000 0.5000 0.0000
Nd: 0.7199 0.7199 0.6676
Nd: 0.7951 0.7951 0.1216
Nd: 0.9312 0.9312 0.5982
Zn: 0.3209 0.3209 0.6615
Zn: 0.4598 0.4598 0.2654
Zn: 0.5402 0.5402 0.7346
Zn: 0.6791 0.6791 0.3385

Entry 3:
Material: PrNdZn2
Method: DFT, PBE
State: relaxed

Results
The energy above the lowest structure with this stoichiometry comes out at 3 meV per atom. The formation energy is -0.31 eV per atom. Its magnetic moment is 0.000 μB/atom.

Lattice parameters (Å, degrees): 5.2232 5.2232 3.7097 90.00 90.00 90.00
Fractional positions:
Pr: 0.0000 0.0000 0.0000
Nd: 0.5000 0.5000 0.0000
Zn: 0.0000 0.5000 0.5000
Zn: 0.5000 0.0000 0.5000

Question: magnetic moment of number 2 (PrNd7Zn4)?
Answer: 0.029 μB/atom